A plane-wave DFT calculation with PBE was carried out for an optimized crystal structure of HfGePO.

Geometry as CIF:
```
data_HfGePO
_cell_length_a 3.684
_cell_length_b 6.992
_cell_length_c 5.350
_cell_angle_alpha 90.00
_cell_angle_beta 90.00
_cell_angle_gamma 90.00
_space_group_name_H-M_alt 'P 1'
_space_group_IT_number 1
loop_
_space_group_symop_operation_xyz
'x,y,z'
loop_
_atom_site_label
_atom_site_fract_x
_atom_site_fract_y
_atom_site_fract_z
Hf1 0.000 0.184 0.000
Hf2 0.000 0.816 0.500
Ge1 0.500 0.444 0.520
Ge2 0.500 0.556 0.020
P1 0.000 0.223 0.501
P2 0.000 0.777 0.001
O1 0.500 0.093 0.995
O2 0.500 0.907 0.495
```

Results
E_tot   -0.5469 Ry/atom
M_tot   0.00 μB per formula unit
Distance to the lowest polymorph of the same formula   100 meV/atom
Crystal system   orthorhombic